First-principles (GGA-PBE) data for a relaxed MnCo2Re crystal, as listed in Alexandria.

Unit cell a=4.4441 b=4.4441 c=4.4039 alpha=79.90 beta=79.90 gamma=34.21
Last column: nearest neighbours and their distance in Å.
Fractional coordinates of all 4 atoms:
Co 0.9977 0.9977 0.0025  3 Mn 2.55-2.58, 6 Co 2.55-2.61, 3 Re 2.55-2.58
Co 0.5023 0.5023 0.4975  3 Mn 2.55-2.58, 6 Co 2.55-2.61, 3 Re 2.55-2.58
Mn 0.2500 0.2500 0.2500  6 Co 2.55-2.58, 4 Re 2.56, 2 Mn 2.61
Re 0.7500 0.7500 0.7500  6 Co 2.55-2.58, 4 Mn 2.56, 2 Re 2.61

density of states at the Fermi level = 1.3983 states/eV per atom
final energy = -35.376 eV per cell